A plane-wave DFT calculation with PBE was carried out for a geometry-optimized LaRhBr2 structure.

Geometry as POSCAR:
```
LaRhBr2
1.0
0.000 3.604 3.604
3.604 0.000 3.604
3.604 3.604 0.000
La Rh Br
1 1 2
direct
0.000 0.000 0.000
0.250 0.250 0.250
0.500 0.500 0.500
0.750 0.750 0.750
```

The calculation puts the total moment at 0.0 μB/f.u. The crystal system is cubic. The mass density comes out at 7.12 Mg/m³. The symmetry is F-43m. For the energy relative to the elements, uncorrected, the calculation gives -627 meV/atom. The polymorph energy (0 for the lowest one) comes out at 0.508 eV per atom.

***

A plane-wave DFT calculation with PBE was carried out for a geometry-optimized LiMg5Ga4 structure.

Geometry as POSCAR:
```
LiMg5Ga4
1.0
7.504 -1.684 0.000
7.504 1.684 0.000
-1.163 0.000 8.024
Li Mg Ga
1 5 4
direct
0.000 0.000 0.000
0.000 0.000 0.500
0.303 0.303 0.387
0.362 0.362 0.789
0.638 0.638 0.211
0.697 0.697 0.613
0.182 0.182 0.923
0.450 0.450 0.220
0.550 0.550 0.780
0.818 0.818 0.077
```

The calculation puts the total moment at 0.0 μB/f.u. As for the formation energy: -0.090 eV/atom. The crystal system is monoclinic. The mass density comes out at 3.34 Mg/m³. The symmetry is C2/m. The polymorph energy (0 for the lowest one) comes out at 0.038 eV per atom.

***

A plane-wave DFT calculation with PBE was carried out for a geometry-optimized EuMg5 structure.

Geometry as POSCAR:
```
EuMg5
1.0
10.347 0.000 0.000
-5.173 8.961 0.000
0.000 0.000 10.558
Eu Mg
6 30
direct
0.190 0.380 0.250
0.190 0.810 0.250
0.380 0.190 0.750
0.620 0.810 0.250
0.810 0.190 0.750
0.810 0.620 0.750
0.000 0.000 0.000
0.000 0.000 0.500
0.000 0.500 0.000
0.000 0.500 0.500
0.136 0.568 0.750
0.162 0.325 0.589
0.162 0.325 0.911
0.162 0.838 0.589
0.162 0.838 0.911
0.325 0.162 0.089
0.325 0.162 0.411
0.333 0.667 0.006
0.333 0.667 0.494
0.432 0.568 0.750
0.432 0.864 0.750
0.500 0.000 0.000
0.500 0.000 0.500
0.500 0.500 0.000
0.500 0.500 0.500
0.568 0.136 0.250
0.568 0.432 0.250
0.667 0.333 0.506
0.667 0.333 0.994
0.675 0.838 0.589
0.675 0.838 0.911
0.838 0.162 0.089
0.838 0.162 0.411
0.838 0.675 0.089
0.838 0.675 0.411
0.864 0.432 0.250
```

The calculation puts the total moment at 7.4 μB/f.u. As for the formation energy: -0.034 eV/atom. The crystal system is hexagonal. The mass density comes out at 2.78 Mg/m³. The symmetry is P6_3/mmc.

***

A plane-wave DFT calculation with PBE was carried out for a geometry-optimized KP2OsO structure.

Geometry as POSCAR:
```
KP2OsO
1.0
5.036 0.000 0.000
0.000 5.036 0.000
0.000 0.000 3.866
K P Os O
1 2 1 1
direct
0.000 0.000 0.000
0.000 0.500 0.000
0.500 0.000 0.000
0.500 0.500 0.500
0.000 0.000 0.500
```

The calculation puts the total moment at 1.9 μB/f.u. The crystal system is tetragonal. The mass density comes out at 5.21 Mg/m³. The symmetry is P4/mmm. For the energy relative to the elements, uncorrected, the calculation gives 2409 meV/atom. The polymorph energy (0 for the lowest one) comes out at 2.362 eV per atom.

***

A plane-wave DFT calculation with PBE was carried out for a geometry-optimized MnSiB structure.

Geometry as POSCAR:
```
MnSiB
1.0
3.983 -1.404 0.000
3.983 1.404 0.000
-2.206 0.000 5.074
Mn Si B
2 2 2
direct
0.005 0.005 0.243
0.995 0.995 0.757
0.316 0.316 0.360
0.684 0.684 0.640
0.373 0.373 0.937
0.627 0.627 0.063
```

The calculation puts the total moment at 0.0 μB/f.u. The crystal system is monoclinic. The mass density comes out at 5.49 Mg/m³. The symmetry is C2/m. For the energy relative to the elements, uncorrected, the calculation gives -174 meV/atom. The polymorph energy (0 for the lowest one) comes out at 0.178 eV per atom.

***

A plane-wave DFT calculation with PBE was carried out for a geometry-optimized K5Rb4Hg2 structure.

Geometry as POSCAR:
```
K5Rb4Hg2
1.0
11.275 0.000 0.000
0.000 4.864 0.000
-1.323 0.000 13.140
K Rb Hg
5 4 2
direct
0.000 0.000 0.000
0.035 0.000 0.334
0.342 0.000 0.859
0.658 0.000 0.141
0.965 0.000 0.666
0.302 0.500 0.556
0.324 0.500 0.180
0.676 0.500 0.820
0.698 0.500 0.444
0.445 0.000 0.385
0.555 0.000 0.615
```

The calculation puts the total moment at 0.0 μB/f.u. As for the formation energy: -0.071 eV/atom. The crystal system is monoclinic. The mass density comes out at 2.16 Mg/m³. The symmetry is P2/m.

***

A plane-wave DFT calculation with PBE was carried out for a geometry-optimized DyThRu structure.

Geometry as POSCAR:
```
DyThRu
1.0
-1.775 1.775 5.859
1.775 -1.775 5.859
1.775 1.775 -5.859
Dy Th Ru
1 1 1
direct
0.000 0.000 0.000
0.285 0.285 0.000
0.657 0.657 0.000
```

The calculation puts the total moment at 0.0 μB/f.u. As for the formation energy: -0.239 eV/atom. The crystal system is tetragonal. The mass density comes out at 11.15 Mg/m³. The symmetry is I4mm. The polymorph energy (0 for the lowest one) comes out at 0.097 eV per atom.

***

A plane-wave DFT calculation with PBE was carried out for a geometry-optimized Li2CoPb structure.

Geometry as POSCAR:
```
Li2CoPb
1.0
2.637 -4.731 0.000
2.637 4.731 0.000
-1.430 0.000 2.757
Li Co Pb
2 1 1
direct
0.000 0.500 0.000
0.500 0.000 0.000
0.000 0.000 0.500
0.500 0.500 0.500
```

The calculation puts the total moment at 1.3 μB/f.u. As for the formation energy: 0.181 eV/atom. The crystal system is monoclinic. The mass density comes out at 6.76 Mg/m³. The symmetry is C2/m.

***

A plane-wave DFT calculation with PBE was carried out for a geometry-optimized Pa2FeRhN5 structure.

Geometry as POSCAR:
```
Pa2FeRhN5
1.0
1.628 -6.505 0.000
1.628 6.505 0.000
0.000 0.000 9.863
Pa Fe Rh N
4 2 2 10
direct
0.094 0.906 0.500
0.158 0.842 0.133
0.842 0.158 0.633
0.906 0.094 0.000
0.213 0.787 0.860
0.787 0.213 0.360
0.469 0.531 0.276
0.531 0.469 0.776
0.074 0.926 0.891
0.271 0.729 0.478
0.319 0.681 0.200
0.370 0.630 0.823
0.480 0.520 0.586
0.520 0.480 0.086
0.630 0.370 0.323
0.681 0.319 0.700
0.729 0.271 0.978
0.926 0.074 0.391
```

The calculation puts the total moment at 0.2 μB/f.u. The crystal system is orthorhombic. The mass density comes out at 10.98 Mg/m³. The symmetry is Cmc2_1. For the energy relative to the elements, uncorrected, the calculation gives -726 meV/atom.

***

A plane-wave DFT calculation with PBE was carried out for a geometry-optimized Dy4PAuSe2 structure.

Geometry as POSCAR:
```
Dy4PAuSe2
1.0
7.106 0.000 0.000
0.000 4.023 0.000
-2.275 0.000 6.785
Dy P Au Se
4 1 1 2
direct
0.237 0.000 0.235
0.244 0.500 0.757
0.756 0.500 0.243
0.763 0.000 0.765
0.000 0.500 0.000
0.000 0.000 0.500
0.500 0.000 0.000
0.500 0.500 0.500
```

The calculation puts the total moment at 0.0 μB/f.u. The crystal system is monoclinic. The mass density comes out at 8.87 Mg/m³. The symmetry is P2/m. For the energy relative to the elements, uncorrected, the calculation gives -1486 meV/atom.

***

A plane-wave DFT calculation with PBE was carried out for a geometry-optimized ZrIr3 structure.

Geometry as POSCAR:
```
ZrIr3
1.0
-1.995 1.995 4.003
1.995 -1.995 4.003
1.995 1.995 -4.003
Zr Ir
1 3
direct
0.000 0.000 0.000
0.250 0.750 0.500
0.500 0.500 0.000
0.750 0.250 0.500
```

The calculation puts the total moment at 0.0 μB/f.u. As for the formation energy: -0.546 eV/atom. The crystal system is tetragonal. The mass density comes out at 17.40 Mg/m³. The symmetry is I4/mmm.

***

A plane-wave DFT calculation with PBE was carried out for a geometry-optimized V2SiRu structure.

Geometry as POSCAR:
```
V2SiRu
1.0
-3.369 3.369 2.545
3.369 -3.369 2.545
3.369 3.369 -2.545
V Si Ru
4 2 2
direct
0.120 0.125 0.495
0.375 0.880 0.005
0.630 0.625 0.505
0.875 0.370 0.995
0.250 0.750 0.500
0.500 0.500 0.000
0.000 0.000 0.000
0.750 0.250 0.500
```

The calculation puts the total moment at 0.0 μB/f.u. The crystal system is tetragonal. The mass density comes out at 6.64 Mg/m³. The symmetry is I-42d. For the energy relative to the elements, uncorrected, the calculation gives 199 meV/atom.

***

A plane-wave DFT calculation with PBE was carried out for a geometry-optimized YbDy3 structure.

Geometry as POSCAR:
```
YbDy3
1.0
5.029 0.000 0.000
0.000 5.029 0.000
0.000 0.000 5.029
Yb Dy
1 3
direct
0.000 0.000 0.000
0.000 0.500 0.500
0.500 0.000 0.500
0.500 0.500 0.000
```

The calculation puts the total moment at 0.0 μB/f.u. As for the formation energy: 0.017 eV/atom. The crystal system is cubic. The mass density comes out at 8.62 Mg/m³. The symmetry is Pm-3m.